This record from Alexandria describes crystalline ScNiRu2 at its relaxed geometry. The functional is GGA-PBE.

## Properties
ΔE_f: -0.10 eV per atom
space-group type: Pmmm (47)
mass density: 8.7 g cm⁻³

a = 3.0386 Å, b = 4.3607 Å, c = 4.4042 Å
α = 90.00°, β = 90.00°, γ = 90.00°
Last column: nearest neighbours and their distance in Å.
Positions (direct):
Sc 0.0000 0.0000 0.0000  4 Ru 2.66, 4 Ni 2.68
Ni 0.5000 0.0000 0.5000  4 Ru 2.66, 4 Sc 2.68
Ru 0.0000 0.5000 0.5000  4 Ni 2.66, 4 Ru 2.68
Ru 0.5000 0.5000 0.0000  4 Sc 2.66, 4 Ru 2.68

***

This record from Alexandria describes crystalline Sc8Ni2Ru at its relaxed geometry. The functional is GGA-PBE.

## Properties
ΔE_f: -0.34 eV per atom
space-group type: C2/m (12)
mass density: 4.4 g cm⁻³

a = 8.1959 Å, b = 8.1959 Å, c = 6.2704 Å
α = 107.78°, β = 107.78°, γ = 33.18°
Last column: nearest neighbours and their distance in Å.
Positions (direct):
Sc 0.0326 0.0326 0.2925  1 Ni 2.62, 2 Ru 2.80
Sc 0.1956 0.1956 0.8078  1 Ni 2.51
Sc 0.3296 0.3296 0.5280  1 Ni 2.56, 1 Ru 2.74
Sc 0.4037 0.4037 0.0485  1 Ru 2.75, 2 Ni 2.89
Sc 0.5963 0.5963 0.9515  1 Ru 2.75, 2 Ni 2.89
Sc 0.6704 0.6704 0.4720  1 Ni 2.56, 1 Ru 2.74
Sc 0.8044 0.8044 0.1922  1 Ni 2.51
Sc 0.9674 0.9674 0.7075  1 Ni 2.62, 2 Ru 2.80
Ni 0.1830 0.1830 0.1962  3 Sc 2.51-2.62
Ni 0.8170 0.8170 0.8038  3 Sc 2.51-2.62
Ru 0.5000 0.5000 0.5000  8 Sc 2.74-2.80

***

This record from Alexandria describes crystalline ScNiRu2 at its relaxed geometry. The functional is GGA-PBE.

## Properties
ΔE_f: 0.20 eV per atom
space-group type: R-3m (166)
mass density: 8.5 g cm⁻³

a = 2.8513 Å, b = 2.8513 Å, c = 25.3788 Å
α = 90.00°, β = 90.00°, γ = 120.00°
Last column: nearest neighbours and their distance in Å.
Positions (direct):
Sc 0.0000 0.0000 0.0000  6 Ru 2.78, 6 Sc 2.85
Sc 0.3333 0.6667 0.6667  6 Ru 2.78, 6 Sc 2.85
Sc 0.6667 0.3333 0.3333  6 Ru 2.78, 6 Sc 2.85
Ni 0.0000 0.0000 0.5000  6 Ru 2.58, 6 Ni 2.85
Ni 0.3333 0.6667 0.1667  6 Ru 2.58, 6 Ni 2.85
Ni 0.6667 0.3333 0.8333  6 Ru 2.58, 6 Ni 2.85
Ru 0.0000 0.0000 0.2451  3 Ni 2.58, 3 Sc 2.78, 6 Ru 2.85
Ru 0.0000 0.0000 0.7549  3 Ni 2.58, 3 Sc 2.78, 6 Ru 2.85
Ru 0.3333 0.6667 0.4216  3 Ni 2.58, 3 Sc 2.78, 6 Ru 2.85
Ru 0.3333 0.6667 0.9118  3 Ni 2.58, 3 Sc 2.78, 6 Ru 2.85
Ru 0.6667 0.3333 0.0882  3 Ni 2.58, 3 Sc 2.78, 6 Ru 2.85
Ru 0.6667 0.3333 0.5784  3 Ni 2.58, 3 Sc 2.78, 6 Ru 2.85

***

This record from Alexandria describes crystalline ScNiRu at its relaxed geometry. The functional is GGA-PBE.

## Properties
ΔE_f: -0.16 eV per atom
relative energy among the computed polymorphs: 290 meV per atom
space-group type: I4mm (107)
mass density: 7.4 g cm⁻³

a = 3.2033 Å, b = 3.2033 Å, c = 8.9056 Å
α = 90.00°, β = 90.00°, γ = 90.00°
Last column: nearest neighbours and their distance in Å.
Positions (direct):
Sc 0.0000 0.0000 0.0000  5 Ru 2.79-2.81, 5 Ni 2.80-2.81
Sc 0.5000 0.5000 0.5000  5 Ru 2.79-2.81, 5 Ni 2.80-2.81
Ni 0.0000 0.0000 0.3140  4 Ru 2.53, 5 Sc 2.80-2.81
Ni 0.5000 0.5000 0.8140  4 Ru 2.53, 5 Sc 2.80-2.81
Ru 0.0000 0.0000 0.6866  4 Ni 2.53, 5 Sc 2.79-2.81
Ru 0.5000 0.5000 0.1866  4 Ni 2.53, 5 Sc 2.79-2.81

***

This record from Alexandria describes crystalline ScNiRu at its relaxed geometry. The functional is GGA-PBE.

## Properties
ΔE_f: 0.13 eV per atom
relative energy among the computed polymorphs: 583 meV per atom
space-group type: P3m1 (156)
mass density: 7.4 g cm⁻³

a = 2.9299 Å, b = 2.9299 Å, c = 6.2058 Å
α = 90.00°, β = 90.00°, γ = 120.00°
Last column: nearest neighbours and their distance in Å.
Positions (direct):
Sc 0.0000 0.0000 0.0000  3 Ni 2.69, 3 Ru 2.70, 6 Sc 2.93
Ni 0.6667 0.3333 0.3374  3 Ru 2.62, 3 Sc 2.69, 6 Ni 2.93
Ru 0.3333 0.6667 0.6602  3 Ni 2.62, 3 Sc 2.70, 6 Ru 2.93

***

This record from Alexandria describes crystalline Sc4Ni2Ru at its relaxed geometry. The functional is GGA-PBE.

## Properties
ΔE_f: -0.45 eV per atom
space-group type: R-3m (166)
mass density: 5.2 g cm⁻³

a = 7.7348 Å, b = 7.7348 Å, c = 7.7348 Å
α = 33.65°, β = 33.65°, γ = 33.65°
Last column: nearest neighbours and their distance in Å.
Positions (direct):
Sc 0.1229 0.1229 0.1229  4 Ni 2.71-2.72, 3 Ru 2.76
Sc 0.3747 0.3747 0.3747  1 Ru 2.74, 4 Ni 2.76-2.78
Sc 0.6253 0.6253 0.6253  1 Ru 2.74, 4 Ni 2.76-2.78
Sc 0.8771 0.8771 0.8771  4 Ni 2.71-2.72, 3 Ru 2.76
Ni 0.2474 0.2474 0.2474  8 Sc 2.71-2.78
Ni 0.7526 0.7526 0.7526  8 Sc 2.71-2.78
Ru 0.5000 0.5000 0.5000  8 Sc 2.74-2.76

***

This record from Alexandria describes crystalline ScNiRu2 at its relaxed geometry. The functional is GGA-PBE.

## Properties
ΔE_f: -0.04 eV per atom
space-group type: I4/mmm (139)
mass density: 8.7 g cm⁻³

a = 3.8523 Å, b = 3.8523 Å, c = 7.8807 Å
α = 90.00°, β = 90.00°, γ = 90.00°
Last column: nearest neighbours and their distance in Å.
Positions (direct):
Sc 0.0000 0.0000 0.0000  4 Ni 2.72, 8 Ru 2.76
Sc 0.5000 0.5000 0.5000  4 Ni 2.72, 8 Ru 2.76
Ni 0.0000 0.0000 0.5000  4 Sc 2.72, 8 Ru 2.76
Ni 0.5000 0.5000 0.0000  4 Sc 2.72, 8 Ru 2.76
Ru 0.0000 0.5000 0.2500  4 Ru 2.72, 4 Sc 2.76, 4 Ni 2.76
Ru 0.0000 0.5000 0.7500  4 Ru 2.72, 4 Ni 2.76, 4 Sc 2.76
Ru 0.5000 0.0000 0.2500  4 Ru 2.72, 4 Sc 2.76, 4 Ni 2.76
Ru 0.5000 0.0000 0.7500  4 Ru 2.72, 4 Ni 2.76, 4 Sc 2.76

***

This record from Alexandria describes crystalline ScNiRu2 at its relaxed geometry. The functional is GGA-PBE.

## Properties
ΔE_f: -0.13 eV per atom
space-group type: Cm (8)
mass density: 8.7 g cm⁻³

a = 9.7925 Å, b = 2.9031 Å, c = 4.5503 Å
α = 90.00°, β = 116.18°, γ = 90.00°
Last column: nearest neighbours and their distance in Å.
Positions (direct):
Sc 0.0000 0.0000 0.0000  7 Ru 2.63-2.81, 3 Ni 2.70-2.71, 2 Sc 2.90
Sc 0.5000 0.5000 0.0000  7 Ru 2.63-2.81, 3 Ni 2.70-2.71, 2 Sc 2.90
Ni 0.2510 0.5000 0.1162  7 Ru 2.66-2.82, 3 Sc 2.70-2.71, 2 Ni 2.90
Ni 0.7510 0.0000 0.1162  7 Ru 2.66-2.82, 3 Sc 2.70-2.71, 2 Ni 2.90
Ru 0.2350 0.0000 0.6112  4 Ni 2.66-2.74, 5 Ru 2.67-2.90, 3 Sc 2.72-2.81
Ru 0.4894 0.0000 0.5080  4 Sc 2.63-2.77, 3 Ni 2.66-2.82, 5 Ru 2.67-2.90
Ru 0.7350 0.5000 0.6112  4 Ni 2.66-2.74, 5 Ru 2.67-2.90, 3 Sc 2.72-2.81
Ru 0.9894 0.5000 0.5080  4 Sc 2.63-2.77, 3 Ni 2.66-2.82, 5 Ru 2.67-2.90

***

This record from Alexandria describes crystalline ScNi2Ru2 at its relaxed geometry. The functional is GGA-PBE.

## Properties
ΔE_f: 0.00 eV per atom
relative energy among the computed polymorphs: 0 meV per atom
space-group type: P4/mbm (127)
mass density: 8.6 g cm⁻³

a = 7.1098 Å, b = 7.1098 Å, c = 2.7878 Å
α = 90.00°, β = 90.00°, γ = 90.00°
Last column: nearest neighbours and their distance in Å.
Positions (direct):
Sc 0.0000 0.0000 0.0000  2 Sc 2.79, 4 Ni 2.83, 8 Ru 2.97
Sc 0.5000 0.5000 0.0000  2 Sc 2.79, 4 Ni 2.83, 8 Ru 2.97
Ni 0.1204 0.3796 0.0000  1 Ni 2.42, 6 Ru 2.48-2.55
Ni 0.3796 0.8796 0.0000  1 Ni 2.42, 6 Ru 2.48-2.55
Ni 0.6204 0.1204 0.0000  1 Ni 2.42, 6 Ru 2.48-2.55
Ni 0.8796 0.6204 0.0000  1 Ni 2.42, 6 Ru 2.48-2.55
Ru 0.1753 0.6753 0.5000  6 Ni 2.48-2.55
Ru 0.3247 0.1753 0.5000  6 Ni 2.48-2.55
Ru 0.6753 0.8247 0.5000  6 Ni 2.48-2.55
Ru 0.8247 0.3247 0.5000  6 Ni 2.48-2.55

***

This record from Alexandria describes crystalline ScNiRu at its relaxed geometry. The functional is GGA-PBE.

## Properties
ΔE_f: 0.07 eV per atom
relative energy among the computed polymorphs: 528 meV per atom
space-group type: F-43m (216)
mass density: 6.7 g cm⁻³

a = 5.8842 Å, b = 5.8842 Å, c = 5.8842 Å
α = 90.00°, β = 90.00°, γ = 90.00°
Last column: nearest neighbours and their distance in Å.
Positions (direct):
Sc 0.0000 0.0000 0.0000  4 Ni 2.55
Sc 0.0000 0.5000 0.5000  4 Ni 2.55
Sc 0.5000 0.0000 0.5000  4 Ni 2.55
Sc 0.5000 0.5000 0.0000  4 Ni 2.55
Ni 0.2500 0.2500 0.7500  4 Ru 2.55, 4 Sc 2.55
Ni 0.2500 0.7500 0.2500  4 Ru 2.55, 4 Sc 2.55
Ni 0.7500 0.2500 0.2500  4 Ru 2.55, 4 Sc 2.55
Ni 0.7500 0.7500 0.7500  4 Ru 2.55, 4 Sc 2.55
Ru 0.0000 0.0000 0.5000  4 Ni 2.55
Ru 0.0000 0.5000 0.0000  4 Ni 2.55
Ru 0.5000 0.0000 0.0000  4 Ni 2.55
Ru 0.5000 0.5000 0.5000  4 Ni 2.55

***

Question: mass density of number 4 (ScNiRu)?
Answer: 7.4 g cm⁻³

***

Copy entry 4 word for word.
This record from Alexandria describes crystalline ScNiRu at its relaxed geometry. The functional is GGA-PBE.

## Properties
ΔE_f: -0.16 eV per atom
relative energy among the computed polymorphs: 290 meV per atom
space-group type: I4mm (107)
mass density: 7.4 g cm⁻³

a = 3.2033 Å, b = 3.2033 Å, c = 8.9056 Å
α = 90.00°, β = 90.00°, γ = 90.00°
Last column: nearest neighbours and their distance in Å.
Positions (direct):
Sc 0.0000 0.0000 0.0000  5 Ru 2.79-2.81, 5 Ni 2.80-2.81
Sc 0.5000 0.5000 0.5000  5 Ru 2.79-2.81, 5 Ni 2.80-2.81
Ni 0.0000 0.0000 0.3140  4 Ru 2.53, 5 Sc 2.80-2.81
Ni 0.5000 0.5000 0.8140  4 Ru 2.53, 5 Sc 2.80-2.81
Ru 0.0000 0.0000 0.6866  4 Ni 2.53, 5 Sc 2.79-2.81
Ru 0.5000 0.5000 0.1866  4 Ni 2.53, 5 Sc 2.79-2.81